PBE with a Hubbard U NaMnBrO2, optimized geometry; D(E_F) = 0.71 states/eV/f.u.; excess energy over the best structure of this formula in the dataset = 0.0 meV/atom; calculated volume = 18.6 A^3/atom
1.0
-1.856 3.154 -2.059
-4.720 -2.141 0.975
-0.253 2.185 3.576
Na Mn O Br
1 1 2 1
direct
0.000 0.000 0.000
0.500 0.500 0.500
0.000 0.000 0.500
0.500 0.000 0.000
0.000 0.500 0.000